19
Lattice="6.4652 3.7327 4.2515 -6.4652 3.7327 4.2515 0.0000 -7.4654 4.2515" Properties=species:S:1:pos:R:3 comment="Y12Tm6Sc | the Alexandria database | PBE | optimized geometry" total_magnetization_mub_per_fu=0.0 e_form_mev_per_atom=150.3 pbc="T T T"
Y -1.6955 -4.5287 4.2515
Y -4.7697 0.7960 4.2515
Y -2.7341 -1.5786 5.7241
Y 1.6955 -4.5287 4.2515
Y -3.0742 3.7327 4.2515
Y 0.0000 -3.1571 7.0303
Y -2.7341 1.5786 7.0303
Y 2.7341 -1.5786 5.7241
Y 0.0000 3.1571 5.7241
Y 4.7697 0.7960 4.2515
Y 3.0742 3.7327 4.2515
Y 2.7342 1.5786 7.0303
Tm 0.0000 -2.0012 2.8931
Tm -1.7331 1.0006 2.8931
Tm 1.7331 1.0006 2.8931
Tm -1.7331 -1.0006 9.8613
Tm 1.7331 -1.0006 9.8613
Tm 0.0000 2.0012 9.8613
Sc 0.0000 0.0000 0.0000